No. 1
This record from Alexandria describes a geometry-optimized LiTlInBi2 structure. The functional is PBE-GGA.

Lattice parameters (Å, degrees): 4.6999 4.6999 8.3357 90.00 90.00 120.00
Fractional positions:
Li 0.0000 0.0000 0.0000
Tl 0.3333 0.6667 0.6392
In 0.6667 0.3333 0.2106
Bi 0.0000 0.0000 0.3673
Bi 0.6667 0.3333 0.8543

Summary:
energy of formation	-0.0774	eV per atom
raw total energy	-3.03	eV/atom
calculated volume	159.5	Å³/cell
symmetry	P3m1, No. 156


No. 2
This record from Alexandria describes a geometry-optimized LiYInBi2 structure. The functional is PBE-GGA.

Lattice parameters (Å, degrees): 5.0496 5.0496 5.4934 90.00 90.00 90.00
Fractional positions:
Li 0.0000 0.0000 0.0000
Y 0.0000 0.0000 0.5000
In 0.5000 0.5000 0.5000
Bi 0.0000 0.5000 0.0000
Bi 0.5000 0.0000 0.0000

Summary:
energy of formation	0.0023	eV per atom
raw total energy	-3.77	eV/atom
calculated volume	140.1	Å³/cell
symmetry	P4/mmm, No. 123